First-principles (GGA-PBE) data for a relaxed LaNd4Dy3Te8 crystal, as listed in Alexandria via LeMat-Bulk.

Calculated volume ... 501 Å³ per cell
M_tot ... 0.000 μB per cell
Crystal system ... trigonal
Formation energy from raw total energies ... -1385 meV per atom

Cell: 8.9542 8.9542 8.9542 Å, 59.43 59.43 59.43°
With the nearest neighbours (Å) after each atom.
Atoms (fractional coordinates):
La (0.0000, 0.0000, 0.0000)  6 Te 3.17
Nd (0.0000, 0.0000, 0.5000)  6 Te 3.21
Nd (0.0000, 0.5000, 0.0000)  6 Te 3.21
Nd (0.5000, 0.0000, 0.0000)  6 Te 3.21
Nd (0.5000, 0.5000, 0.5000)  6 Te 3.14
Dy (0.0000, 0.5000, 0.5000)  6 Te 3.10
Dy (0.5000, 0.0000, 0.5000)  6 Te 3.10
Dy (0.5000, 0.5000, 0.0000)  6 Te 3.10
Te (0.2515, 0.2515, 0.7399)  2 Dy 3.10, 3 Nd 3.14-3.21, 1 La 3.17
Te (0.2515, 0.7399, 0.2515)  2 Dy 3.10, 3 Nd 3.14-3.21, 1 La 3.17
Te (0.2542, 0.2542, 0.2542)  3 Dy 3.10, 3 Nd 3.21
Te (0.2601, 0.7485, 0.7485)  2 Dy 3.10, 3 Nd 3.14-3.21, 1 La 3.17
Te (0.7399, 0.2515, 0.2515)  2 Dy 3.10, 3 Nd 3.14-3.21, 1 La 3.17
Te (0.7458, 0.7458, 0.7458)  3 Dy 3.10, 3 Nd 3.21
Te (0.7485, 0.2601, 0.7485)  2 Dy 3.10, 3 Nd 3.14-3.21, 1 La 3.17
Te (0.7485, 0.7485, 0.2601)  2 Dy 3.10, 3 Nd 3.14-3.21, 1 La 3.17